(1)
Computed, not measured: an optimized crystal structure of PrY7Al4 at the PBE level of DFT.

a = 5.5254 Å, b = 9.1471 Å, c = 7.4865 Å
α = 77.68°, β = 68.34°, γ = 72.42°
Fractional positions:
Y (0.3022, 0.6402, 0.7553)
Y (0.2125, 0.1229, 0.4521)
Pr (0.0000, 0.0000, 0.0000)
Al (0.5543, 0.2360, 0.6554)
Al (0.3222, 0.3309, 0.0247)
Y (0.0661, 0.6114, 0.2565)
Y (0.9339, 0.3886, 0.7435)
Al (0.4457, 0.7640, 0.3446)
Y (0.7875, 0.8771, 0.5479)
Y (0.5000, 0.0000, 0.0000)
Al (0.6778, 0.6691, 0.9753)
Y (0.6978, 0.3598, 0.2447)

***

(2)
Computed, not measured: an optimized crystal structure of PrY3Al2 at the PBE level of DFT.

Results
**Excess energy over the best structure of this formula in the dataset**: 0.0929 eV/atom

a = 5.2797 Å, b = 9.1495 Å, c = 9.0087 Å
α = 124.68°, β = 90.00°, γ = 106.77°
Fractional positions:
Y (0.6179, 0.2358, 0.7089)
Y (0.9384, 0.8768, 0.5927)
Al (0.7707, 0.5415, 0.1451)
Y (0.3821, 0.7642, 0.2911)
Pr (0.1315, 0.2629, 0.0774)
Pr (0.8685, 0.7371, 0.9226)
Al (0.4803, 0.9607, 0.1166)
Al (0.5197, 0.0393, 0.8834)
Y (0.3127, 0.6255, 0.6186)
Al (0.2293, 0.4585, 0.8549)
Y (0.6873, 0.3745, 0.3814)
Y (0.0616, 0.1232, 0.4073)

***

(3)
Computed, not measured: an optimized crystal structure of PrY2Al at the PBE level of DFT.

Results
**Excess energy over the best structure of this formula in the dataset**: 0.1266 eV/atom

a = 3.6302 Å, b = 3.6302 Å, c = 10.7744 Å
α = 80.30°, β = 80.30°, γ = 60.00°
Fractional positions:
Y (0.0705, 0.0705, 0.7885)
Pr (0.5004, 0.5004, 0.4988)
Al (0.6663, 0.6663, 0.0011)
Y (0.2628, 0.2628, 0.2116)

***

(4)
Computed, not measured: an optimized crystal structure of Pr12Y3Al at the PBE level of DFT.

a = 5.1140 Å, b = 5.1140 Å, c = 20.7595 Å
α = 90.00°, β = 90.00°, γ = 90.00°
Fractional positions:
Al (0.0000, 0.0000, 0.0000)
Pr (0.5000, 0.0000, 0.1170)
Pr (0.0000, 0.5000, 0.1170)
Pr (0.5000, 0.5000, 0.5000)
Y (0.0000, 0.0000, 0.2463)
Pr (0.5000, 0.0000, 0.3726)
Pr (0.0000, 0.5000, 0.8830)
Pr (0.5000, 0.5000, 0.0000)
Pr (0.0000, 0.5000, 0.6274)
Y (0.0000, 0.0000, 0.5000)
Pr (0.0000, 0.5000, 0.3726)
Y (0.0000, 0.0000, 0.7537)
Pr (0.5000, 0.5000, 0.2452)
Pr (0.5000, 0.5000, 0.7548)
Pr (0.5000, 0.0000, 0.8830)
Pr (0.5000, 0.0000, 0.6274)

***

(5)
Computed, not measured: an optimized crystal structure of Pr5YAl6 at the PBE level of DFT.

a = 5.2835 Å, b = 7.4507 Å, c = 9.1424 Å
α = 65.95°, β = 73.21°, γ = 90.00°
Fractional positions:
Al (0.1630, 0.4033, 0.6744)
Al (0.5000, 0.2314, 0.0000)
Pr (0.6632, 0.6632, 0.6737)
Pr (0.0000, 0.5000, 0.0000)
Pr (0.6732, 0.1731, 0.6538)
Al (0.8370, 0.0777, 0.3256)
Al (0.1630, 0.9223, 0.6744)
Al (0.8370, 0.5967, 0.3256)
Y (0.0000, 0.0000, 0.0000)
Pr (0.3368, 0.3368, 0.3263)
Pr (0.3268, 0.8269, 0.3462)
Al (0.5000, 0.7686, 0.0000)

***

(6)
Computed, not measured: an optimized crystal structure of PrY3Al8 at the PBE level of DFT.

Results
**Excess energy over the best structure of this formula in the dataset**: 0.0094 eV/atom

a = 5.5898 Å, b = 5.5898 Å, c = 9.2288 Å
α = 90.00°, β = 90.00°, γ = 120.00°
Fractional positions:
Al (0.3333, 0.6667, 0.0017)
Y (0.6667, 0.3333, 0.4306)
Al (0.1624, 0.8376, 0.2472)
Y (0.0000, 0.0000, 0.9320)
Pr (0.0000, 0.0000, 0.5680)
Al (0.9913, 0.4957, 0.7538)
Y (0.6667, 0.3333, 0.0666)
Al (0.5043, 0.4957, 0.7538)
Al (0.1624, 0.3248, 0.2472)
Al (0.3333, 0.6667, 0.4983)
Al (0.5043, 0.0087, 0.7538)
Al (0.6752, 0.8376, 0.2472)

***

(7)
Computed, not measured: an optimized crystal structure of PrY6Al at the PBE level of DFT.

a = 9.3278 Å, b = 8.5409 Å, c = 6.3242 Å
α = 47.48°, β = 42.50°, γ = 56.87°
Fractional positions:
Y (0.4393, 0.7644, 0.8364)
Y (0.7642, 0.9600, 0.7148)
Pr (0.5000, 0.5000, 0.5000)
Y (0.5607, 0.2356, 0.1636)
Y (0.9596, 0.5605, 0.2441)
Y (0.0404, 0.4395, 0.7559)
Al (0.0000, 0.0000, 0.0000)
Y (0.2358, 0.0400, 0.2852)

***

(8)
Computed, not measured: an optimized crystal structure of PrYAl at the PBE level of DFT.

Results
**Excess energy over the best structure of this formula in the dataset**: 0.0944 eV/atom

a = 3.7021 Å, b = 5.1470 Å, c = 5.1470 Å
α = 120.00°, β = 90.00°, γ = 90.00°
Fractional positions:
Y (0.4049, 0.3333, 0.6667)
Pr (0.9654, 0.0000, 0.0000)
Al (0.6297, 0.6667, 0.3333)

***

(9)
Computed, not measured: an optimized crystal structure of PrY3Al8 at the PBE level of DFT.

Results
**Excess energy over the best structure of this formula in the dataset**: 0.0000 eV/atom

a = 5.5984 Å, b = 5.5984 Å, c = 9.7490 Å
α = 73.31°, β = 73.31°, γ = 60.00°
Fractional positions:
Y (0.0000, 0.0000, 0.0001)
Al (0.6878, 0.6878, 0.9365)
Pr (0.8749, 0.8749, 0.3752)
Al (0.4383, 0.4383, 0.1842)
Al (0.9369, 0.4357, 0.6905)
Al (0.9369, 0.9369, 0.6905)
Y (0.3755, 0.3755, 0.8735)
Y (0.4994, 0.4994, 0.5017)
Al (0.4383, 0.9391, 0.1842)
Al (0.9391, 0.4383, 0.1842)
Al (0.1871, 0.1871, 0.4388)
Al (0.4357, 0.9369, 0.6905)

***

(10)
Computed, not measured: an optimized crystal structure of Pr3Y2Al3 at the PBE level of DFT.

a = 3.3429 Å, b = 8.6671 Å, c = 8.6671 Å
α = 120.00°, β = 90.00°, γ = 90.00°
Fractional positions:
Pr (0.0000, 0.2444, 0.0000)
Al (0.5000, 0.0000, 0.6112)
Pr (0.0000, 0.0000, 0.2444)
Pr (0.0000, 0.7556, 0.7556)
Al (0.5000, 0.3888, 0.3888)
Al (0.5000, 0.6112, 0.0000)
Y (0.0000, 0.6667, 0.3333)
Y (0.0000, 0.3333, 0.6667)

***

(11)
Computed, not measured: an optimized crystal structure of Pr2Y2Al at the PBE level of DFT.

a = 3.5813 Å, b = 3.5813 Å, c = 12.1819 Å
α = 98.45°, β = 98.45°, γ = 90.00°
Fractional positions:
Y (0.4208, 0.4208, 0.8416)
Y (0.5792, 0.5792, 0.1584)
Al (0.0000, 0.0000, 0.0000)
Pr (0.8085, 0.8085, 0.6169)
Pr (0.1915, 0.1915, 0.3831)

***

(12)
Computed, not measured: an optimized crystal structure of Pr2Y6Al at the PBE level of DFT.

a = 3.5479 Å, b = 10.1929 Å, c = 9.5925 Å
α = 122.10°, β = 100.62°, γ = 90.00°
Fractional positions:
Y (0.8232, 0.6642, 0.6461)
Y (0.5000, 0.2740, 0.0000)
Y (0.5000, 0.7260, 0.0000)
Pr (0.1462, 0.6459, 0.2917)
Pr (0.8538, 0.3541, 0.7083)
Al (0.0000, 0.0000, 0.0000)
Y (0.1768, 0.3358, 0.3539)
Y (0.8231, 0.9819, 0.6460)
Y (0.1769, 0.0181, 0.3540)

***

(13)
Computed, not measured: an optimized crystal structure of PrYAl at the PBE level of DFT.

Results
**Excess energy over the best structure of this formula in the dataset**: 0.2008 eV/atom

a = 5.1455 Å, b = 5.1455 Å, c = 8.9451 Å
α = 73.28°, β = 73.28°, γ = 60.00°
Fractional positions:
Pr (0.1232, 0.1232, 0.6303)
Al (0.2529, 0.2529, 0.2414)
Y (0.6266, 0.6266, 0.1201)
Y (0.3734, 0.3734, 0.8799)
Pr (0.8768, 0.8768, 0.3697)
Al (0.7471, 0.7471, 0.7586)

***

(14)
Computed, not measured: an optimized crystal structure of PrY4Al at the PBE level of DFT.

Results
**Excess energy over the best structure of this formula in the dataset**: 0.0000 eV/atom

a = 3.5949 Å, b = 3.5949 Å, c = 14.0661 Å
α = 90.00°, β = 90.00°, γ = 90.00°
Fractional positions:
Y (0.0000, 0.0000, 0.6315)
Y (0.5000, 0.5000, 0.1837)
Y (0.5000, 0.5000, 0.8163)
Y (0.0000, 0.0000, 0.3685)
Pr (0.0000, 0.0000, 0.0000)
Al (0.5000, 0.5000, 0.5000)

***

(15)
Computed, not measured: an optimized crystal structure of PrY4Al5 at the PBE level of DFT.

a = 3.6339 Å, b = 3.6339 Å, c = 18.2097 Å
α = 90.00°, β = 90.00°, γ = 90.00°
Fractional positions:
Y (0.0000, 0.0000, 0.2057)
Y (0.0000, 0.0000, 0.5981)
Y (0.0000, 0.0000, 0.4019)
Y (0.0000, 0.0000, 0.7943)
Pr (0.0000, 0.0000, 0.0000)
Al (0.5000, 0.5000, 0.6963)
Al (0.5000, 0.5000, 0.3037)
Al (0.5000, 0.5000, 0.5000)
Al (0.5000, 0.5000, 0.8905)
Al (0.5000, 0.5000, 0.1095)

***

(16)
Computed, not measured: an optimized crystal structure of Pr4Y3Al4 at the PBE level of DFT.

a = 3.5577 Å, b = 9.2835 Å, c = 10.7131 Å
α = 115.68°, β = 99.56°, γ = 90.00°
Fractional positions:
Al (0.7221, 0.2221, 0.4442)
Al (0.2779, 0.7779, 0.5558)
Y (0.0926, 0.0926, 0.1852)
Y (0.9074, 0.9074, 0.8148)
Pr (0.3350, 0.1603, 0.6700)
Pr (0.6650, 0.4903, 0.3300)
Y (0.0000, 0.5000, 0.0000)
Pr (0.3350, 0.5097, 0.6700)
Pr (0.6650, 0.8397, 0.3300)
Al (0.5000, 0.2212, 0.0000)
Al (0.5000, 0.7788, 0.0000)

***

(17)
Computed, not measured: an optimized crystal structure of Pr3Y4Al at the PBE level of DFT.

a = 3.6093 Å, b = 3.6093 Å, c = 19.4237 Å
α = 90.00°, β = 90.00°, γ = 90.00°
Fractional positions:
Pr (0.5000, 0.5000, 0.5000)
Y (0.0000, 0.0000, 0.9045)
Pr (0.5000, 0.5000, 0.7688)
Y (0.0000, 0.0000, 0.3660)
Y (0.0000, 0.0000, 0.6340)
Y (0.0000, 0.0000, 0.0955)
Al (0.5000, 0.5000, 0.0000)
Pr (0.5000, 0.5000, 0.2312)

***

(18)
Computed, not measured: an optimized crystal structure of PrY2Al at the PBE level of DFT.

Results
**Excess energy over the best structure of this formula in the dataset**: 0.0256 eV/atom

a = 5.3469 Å, b = 6.9885 Å, c = 6.9885 Å
α = 120.12°, β = 90.00°, γ = 90.00°
Fractional positions:
Y (0.0000, 0.8250, 0.6472)
Y (0.0000, 0.3528, 0.1750)
Y (0.5000, 0.1756, 0.8244)
Al (0.5000, 0.6680, 0.3320)
Pr (0.5000, 0.6442, 0.8183)
Y (0.0000, 0.8256, 0.1744)
Al (0.0000, 0.3272, 0.6728)
Pr (0.5000, 0.1817, 0.3558)

***

(19)
Computed, not measured: an optimized crystal structure of PrY2Al at the PBE level of DFT.

Results
**Excess energy over the best structure of this formula in the dataset**: 0.0217 eV/atom

a = 3.8134 Å, b = 5.4444 Å, c = 6.5837 Å
α = 114.45°, β = 106.83°, γ = 90.00°
Fractional positions:
Pr (0.0000, 0.5000, 0.0000)
Al (0.5000, 0.0000, 0.0000)
Y (0.2147, 0.2147, 0.4294)
Y (0.7853, 0.7853, 0.5706)

***

(20)
Computed, not measured: an optimized crystal structure of PrYAl6 at the PBE level of DFT.

a = 6.4066 Å, b = 6.4066 Å, c = 4.6567 Å
α = 90.00°, β = 90.00°, γ = 120.00°
Fractional positions:
Al (0.7117, 0.8559, 0.0000)
Pr (0.6667, 0.3333, 0.0000)
Al (0.1441, 0.8559, 0.0000)
Al (0.1441, 0.2883, 0.0000)
Al (0.8586, 0.7172, 0.5000)
Al (0.2828, 0.1414, 0.5000)
Y (0.3333, 0.6667, 0.5000)
Al (0.8586, 0.1414, 0.5000)

***

Table of formation energy (eV per atom), in record order: -0.08, -0.20, -0.08, -0.02, -0.35, -0.51, 0.03, -0.14, -0.52, -0.23, -0.16, 0.03, -0.04, -0.13, -0.40, -0.23, -0.09, -0.18, -0.19, -0.43